DFT (PBE-GGA) results for a geometry-optimized AgSnSbSe4 structure.

Summary:
N(E_F)   2.615 states/eV/f.u.
Raw formation energy   -0.25 eV/atom

Lattice parameters (Å, degrees): 8.2674 8.2925 11.4812 90.00 90.00 90.00
With the nearest neighbours (Å) after each atom.
Space group Imma (No. 74)
Symmetry-distinct sites (fractional):
Ag1 0.0000 0.2500 0.1262 [4 per cell]  4 Se 2.64-2.66
Sn1 0.0000 0.0000 0.5000 [4 per cell]  6 Se 2.74-2.80
Sb1 0.2500 0.2500 0.7500 [4 per cell]  6 Se 2.89-2.91
Se1 0.0000 0.0076 0.7383 [8 per cell]  1 Ag 2.64, 1 Sn 2.74, 2 Sb 2.89
Se2 0.2281 0.2500 0.4974 [8 per cell]  1 Ag 2.66, 2 Sn 2.80, 1 Sb 2.91